No. 1
# Be3VP

A geometry-optimized Be3VP structure (GGA-PBE, Alexandria).

a b c (Å): 4.231 4.231 4.231
angles (deg): 90.00 90.00 90.00
Atoms (fractional coordinates):
P 0.500 0.500 0.500
V 0.000 0.000 0.000
Be 0.000 0.500 0.000
Be 0.000 0.000 0.500
Be 0.500 0.000 0.000

For the energy above the most stable polymorph in this dataset, the calculation gives 796 meV/atom.

No. 2
# Be2V5P

A geometry-optimized Be2V5P structure (GGA-PBE, Alexandria).

a b c (Å): 5.927 5.927 6.784
angles (deg): 115.90 115.90 90.00
Atoms (fractional coordinates):
Be 0.123 0.377 0.000
Be 0.623 0.123 0.000
Be 0.377 0.877 0.000
Be 0.877 0.623 0.000
V 0.522 0.683 0.705
V 0.817 0.978 0.295
V 0.000 0.000 0.000
V 0.500 0.500 0.000
V 0.183 0.022 0.705
V 0.683 0.183 0.705
V 0.022 0.522 0.705
V 0.317 0.817 0.295
V 0.978 0.478 0.295
V 0.478 0.317 0.295
P 0.750 0.750 0.500
P 0.250 0.250 0.500

As for the total DFT energy (no corrections): -7.7281 eV/atom.

No. 3
# BeVP

A geometry-optimized BeVP structure (GGA-PBE, Alexandria).

a b c (Å): 3.104 3.532 3.532
angles (deg): 120.00 90.00 90.00
Site moments in Bohr magnetons follow the coordinates.
Atoms (fractional coordinates):
P 0.167 0.000 0.000  0.00
Be 0.167 0.333 0.667  0.00
V 0.667 0.667 0.333  0.47

For the energy above the most stable polymorph in this dataset, the calculation gives 191 meV/atom.

No. 4
# Be4VP

A geometry-optimized Be4VP structure (GGA-PBE, Alexandria).

a b c (Å): 4.331 4.331 4.331
angles (deg): 60.00 60.00 60.00
Site moments in Bohr magnetons follow the coordinates.
Atoms (fractional coordinates):
P 0.250 0.250 0.250  -0.01
Be 0.627 0.627 0.120  0.03
Be 0.627 0.120 0.627  0.03
Be 0.627 0.627 0.627  0.03
Be 0.120 0.627 0.627  0.03
V 0.000 0.000 0.000  1.08

As for the total DFT energy (no corrections): -4.8165 eV/atom.